Entry from Alexandria: a geometry-optimized Ba2LaP structure (PBE-GGA).

Summary:
The space group is No. 6. Its total energy is -16.1 eV per cell. For the size of the total moment, the calculation gives 0.001 μB/f.u. Its volume is 165.8 Å³/f.u. The formation energy from the elements is -488.4 meV/atom.

a = 5.393 Å, b = 4.473 Å, c = 7.381 Å
α = 90.00°, β = 111.38°, γ = 90.00°
Atoms (fractional coordinates):
1 Ba 0.000 0.000 0.000
2 Ba 0.317 0.500 0.633
3 La 0.687 0.000 0.373
4 P 0.558 0.500 0.119